Record 1
DFT (GGA-PBE) results for a relaxed Ca3BeBi crystal.

Cell lengths 5.4144, 5.4144, 5.4144 Å; angles 90.00, 90.00, 90.00 degrees
Last column: nearest neighbours and their distance in Å.
Space group Pm-3m (No. 221)
Asymmetric unit:
Ca 0.0000 0.0000 0.5000 [3 per cell]  2 Be 2.71
Be 0.0000 0.0000 0.0000 [1 per cell]  6 Ca 2.71
Bi 0.5000 0.5000 0.5000 [1 per cell]  12 Ca 3.83

Properties
Relative energy among the computed polymorphs (meV/atom): 0
Energy (eV per atom): -2.75
Formation energy from the elements (eV per atom): -0.029
Calculated density (Mg/m³): 3.54

***

Record 2
DFT (GGA-PBE) results for a relaxed CaBe3Bi crystal.

Cell lengths 4.9962, 4.9962, 4.9962 Å; angles 90.00, 90.00, 90.00 degrees
Last column: nearest neighbours and their distance in Å.
Space group Pm-3m (No. 221)
Asymmetric unit:
Ca 0.0000 0.0000 0.0000 [1 per cell]  6 Be 2.50
Be 0.0000 0.0000 0.5000 [3 per cell]  2 Ca 2.50
Bi 0.5000 0.5000 0.5000 [1 per cell]  12 Be 3.53

Properties
Relative energy among the computed polymorphs (meV/atom): 667
Energy (eV per atom): -1.66
Formation energy from the elements (eV per atom): 1.748
Calculated density (Mg/m³): 3.68

***

Record 3
DFT (GGA-PBE) results for a relaxed Ca3BeBi crystal.

Cell lengths 5.9636, 5.9636, 5.9636 Å; angles 90.00, 90.00, 90.00 degrees
Last column: nearest neighbours and their distance in Å.
Space group Pm-3m (No. 221)
Asymmetric unit:
Ca 0.0000 0.0000 0.5000 [3 per cell]  2 Bi 2.98
Be 0.5000 0.5000 0.5000 [1 per cell]  12 Ca 4.22
Bi 0.0000 0.0000 0.0000 [1 per cell]  6 Ca 2.98

Properties
Relative energy among the computed polymorphs (meV/atom): 375
Energy (eV per atom): -2.38
Formation energy from the elements (eV per atom): 0.346
Calculated density (Mg/m³): 2.65

***

Record 4
DFT (GGA-PBE) results for a relaxed CaBe2Bi2 crystal.

Cell lengths 4.0697, 4.0697, 14.3422 Å; angles 90.00, 90.00, 90.00 degrees
Last column: nearest neighbours and their distance in Å.
Space group I4/mmm (No. 139)
Asymmetric unit:
Ca 0.0000 0.0000 0.0000 [2 per cell]  8 Bi 3.46
Be 0.0000 0.5000 0.2500 [4 per cell]  4 Bi 2.63, 4 Be 2.88
Bi 0.0000 0.0000 0.3658 [4 per cell]  4 Be 2.63

Properties
Energy (eV per atom): -3.40
Formation energy from the elements (eV per atom): 0.041
Calculated density (Mg/m³): 6.66

***

Record 5
DFT (GGA-PBE) results for a relaxed CaBe3Bi crystal.

Cell lengths 4.9576, 4.9576, 4.9576 Å; angles 90.00, 90.00, 90.00 degrees
Last column: nearest neighbours and their distance in Å.
Space group Pm-3m (No. 221)
Asymmetric unit:
Ca 0.0000 0.0000 0.0000 [1 per cell]  12 Be 3.51
Be 0.0000 0.5000 0.5000 [3 per cell]  2 Bi 2.48
Bi 0.5000 0.5000 0.5000 [1 per cell]  6 Be 2.48

Properties
Relative energy among the computed polymorphs (meV/atom): 0
Energy (eV per atom): -2.33
Formation energy from the elements (eV per atom): 1.081
Calculated density (Mg/m³): 3.76

***

Record 6
DFT (GGA-PBE) results for a relaxed CaBeBi3 crystal.

Cell lengths 5.8096, 5.8096, 5.8096 Å; angles 90.00, 90.00, 90.00 degrees
Last column: nearest neighbours and their distance in Å.
Space group Pm-3m (No. 221)
Asymmetric unit:
Ca 0.0000 0.0000 0.0000 [1 per cell]  6 Bi 2.90
Be 0.5000 0.5000 0.5000 [1 per cell]  12 Bi 4.11
Bi 0.0000 0.0000 0.5000 [3 per cell]  2 Ca 2.90

Properties
Relative energy among the computed polymorphs (meV/atom): 958
Energy (eV per atom): -2.42
Formation energy from the elements (eV per atom): 1.050
Calculated density (Mg/m³): 5.73

***

Record 7
DFT (GGA-PBE) results for a relaxed CaBeBi3 crystal.

Cell lengths 5.2565, 5.2565, 5.2565 Å; angles 90.00, 90.00, 90.00 degrees
Last column: nearest neighbours and their distance in Å.
Space group Pm-3m (No. 221)
Asymmetric unit:
Ca 0.0000 0.0000 0.0000 [1 per cell]  12 Bi 3.72
Be 0.5000 0.5000 0.5000 [1 per cell]  6 Bi 2.63
Bi 0.0000 0.5000 0.5000 [3 per cell]  2 Be 2.63

Properties
Relative energy among the computed polymorphs (meV/atom): 0
Energy (eV per atom): -3.38
Formation energy from the elements (eV per atom): 0.091
Calculated density (Mg/m³): 7.73

***

Record 8
DFT (GGA-PBE) results for a relaxed Ca2BeBi2 crystal.

Cell lengths 7.6471, 7.6471, 4.8140 Å; angles 90.00, 90.00, 90.00 degrees
Last column: nearest neighbours and their distance in Å.
Space group P4/mbm (No. 127)
Asymmetric unit:
Ca 0.1633 0.3367 0.0000 [4 per cell]  6 Bi 3.11-3.42
Be 0.0000 0.0000 0.5000 [2 per cell]  4 Bi 2.90
Bi 0.1539 0.6539 0.5000 [4 per cell]  2 Be 2.90, 2 Ca 3.11

Properties
Energy (eV per atom): -3.30
Formation energy from the elements (eV per atom): -0.203
Calculated density (Mg/m³): 5.98

***

Record 9
DFT (GGA-PBE) results for a relaxed Ca2BeBiCl crystal.

Cell lengths 6.1195, 6.1195, 4.5818 Å; angles 90.00, 90.00, 90.00 degrees
Last column: nearest neighbours and their distance in Å.
Space group P4/mmm (No. 123)
Asymmetric unit:
Ca 0.0000 0.5000 0.0000 [2 per cell]  2 Bi 3.06
Be 0.0000 0.0000 0.5000 [1 per cell]  2 Bi 2.29
Bi 0.0000 0.0000 0.0000 [1 per cell]  2 Be 2.29
Cl 0.5000 0.5000 0.5000 [1 per cell]  8 Ca 3.82

Properties
Energy (eV per atom): -2.84
Uncorrected formation energy (kcal/mol of atoms): -3.481
Calculated density (Mg/m³): 3.23

***

Record 10
DFT (GGA-PBE) results for a relaxed CaBeCo2Bi crystal.

Cell lengths 4.5854, 4.5854, 4.9381 Å; angles 90.00, 90.00, 90.00 degrees
Last column: nearest neighbours and their distance in Å.
Space group P4/mmm (No. 123)
Asymmetric unit:
Ca 0.0000 0.0000 0.0000 [1 per cell]  4 Co 2.29, 2 Be 2.47
Be 0.0000 0.0000 0.5000 [1 per cell]  2 Ca 2.47
Co 0.0000 0.5000 0.0000 [2 per cell]  2 Ca 2.29
Bi 0.5000 0.5000 0.5000 [1 per cell]  4 Be 3.24, 8 Co 3.37

Properties
Energy (eV per atom): -3.13
Formation energy from the elements (eV per atom): 1.634
Calculated density (Mg/m³): 6.01

***

Record 11
DFT (GGA-PBE) results for a relaxed CsCaBeBi2 crystal.

Cell lengths 6.3011, 6.3011, 6.2778 Å; angles 90.00, 90.00, 90.00 degrees
Last column: nearest neighbours and their distance in Å.
Space group P4/mmm (No. 123)
Asymmetric unit:
Cs 0.0000 0.0000 0.0000 [1 per cell]  2 Ca 3.14, 4 Bi 3.15
Ca 0.0000 0.0000 0.5000 [1 per cell]  2 Cs 3.14
Be 0.5000 0.5000 0.5000 [1 per cell]  8 Bi 4.45, 4 Ca 4.46
Bi 0.0000 0.5000 0.0000 [2 per cell]  2 Cs 3.15

Properties
Energy (eV per atom): -1.29
Formation energy from the elements (eV per atom): 1.574
Calculated density (Mg/m³): 4.00

***

Record 12
DFT (GGA-PBE) results for a relaxed CaHfBe2Bi crystal.

Cell lengths 4.9251, 4.9251, 5.5284 Å; angles 90.00, 90.00, 90.00 degrees
Last column: nearest neighbours and their distance in Å.
Space group P4/mmm (No. 123)
Asymmetric unit:
Ca 0.0000 0.0000 0.0000 [1 per cell]  4 Hf 3.48, 8 Be 3.70
Hf 0.5000 0.5000 0.0000 [1 per cell]  2 Bi 2.76
Be 0.0000 0.5000 0.5000 [2 per cell]  2 Bi 2.46
Bi 0.5000 0.5000 0.5000 [1 per cell]  4 Be 2.46

Properties
Energy (eV per atom): -3.52
Formation energy from the elements (eV per atom): 1.139
Calculated density (Mg/m³): 5.52

***

Question: energy of number 12 (CaHfBe2Bi)?
Answer: -3.52 eV per atom

***

Question: Among the records above, which one has the highest calculated density?
Answer: number 7